Computed, not measured: a geometry-optimized In2Fe2As structure at the PBE-GGA level of DFT.

abc: 6.390 6.390 4.297
angles: 90.00 90.00 90.00
Space group P4/mbm (No. 127)
Symmetry-distinct sites (fractional):
1 In 0.165 0.335 0.000 x4
2 Fe 0.136 0.636 0.500 x4
3 As 0.000 0.000 0.500 x2

Summary:
Total energy: -5.224 eV per atom
E_form: 0.187 eV/atom


Computed, not measured: a geometry-optimized NaCuH3 structure at the PBE-GGA level of DFT.

abc: 16.652 3.460 5.191
angles: 90.00 101.71 90.00
Space group C2/m (No. 12)
Symmetry-distinct sites (fractional):
1 Na 0.151 0.000 0.397 x4
2 Cu 0.204 0.500 0.878 x4
3 H 0.016 0.000 0.562 x4
4 H 0.134 0.500 0.623 x4
5 H 0.194 0.000 0.007 x4

Summary:
ΔE to the lowest computed polymorph: 0.0636 eV/atom
Total energy: -3.104 eV per atom


Computed, not measured: a geometry-optimized K2TaV structure at the PBE-GGA level of DFT.

abc: 8.031 8.031 8.031
angles: 90.00 90.00 90.00
Space group Fm-3m (No. 225)
Symmetry-distinct sites (fractional):
1 K 0.250 0.250 0.250 x8
2 Ta 0.000 0.000 0.000 x4
3 V 0.000 0.000 0.500 x4

Summary:
Total energy: -3.635 eV per atom
E_form: 2.156 eV/atom


Computed, not measured: a geometry-optimized Ba2NaMgH6 structure at the PBE-GGA level of DFT.

abc: 5.7673 5.7673 31.4867
angles: 90.00 90.00 120.00
Space group R-3m (No. 166, hexagonal axes)
Symmetry-distinct sites (fractional):
1 Ba 0.0000 0.0000 0.1286 x6
2 Ba 0.0000 0.0000 0.2922 x6
3 Na 0.0000 0.0000 0.4089 x6
4 Mg 0.0000 0.0000 0.0000 x3
5 Mg 0.0000 0.0000 0.5000 x3
6 H 0.0092 0.5046 0.1291 x18
7 H 0.0118 0.5059 0.7017 x18

Summary:
Total energy: -2.997 eV per atom


Computed, not measured: a geometry-optimized CsGe3Ir structure at the PBE-GGA level of DFT.

abc: 9.774 6.584 8.393
angles: 90.00 99.07 90.00
Space group P2_1/c (No. 14)
Symmetry-distinct sites (fractional):
1 Cs 0.117 0.158 0.227 x4
2 Ge 0.234 0.695 0.077 x4
3 Ge 0.376 0.596 0.380 x4
4 Ge 0.398 0.107 0.566 x4
5 Ir 0.497 0.729 0.659 x4

Summary:
ΔE to the lowest computed polymorph: 0.0000 eV/atom
Total energy: -4.828 eV per atom
E_form: -0.115 eV/atom


Computed, not measured: a geometry-optimized CaPm6Nd3Ho2 structure at the PBE-GGA level of DFT.

abc: 6.345 10.995 12.032
angles: 90.00 100.07 90.00
Space group C2/m (No. 12)
Symmetry-distinct sites (fractional):
1 Ca 0.000 0.000 0.000 x2
2 Pm 0.243 0.500 0.249 x4
3 Pm 0.246 0.330 0.751 x8
4 Nd 0.000 0.166 0.500 x4
5 Nd 0.000 0.500 0.500 x2
6 Ho 0.000 0.333 0.000 x4

Summary:
Total energy: -4.457 eV per atom
E_form: 0.041 eV/atom


Computed, not measured: a geometry-optimized Pu2SbN structure at the PBE-GGA level of DFT.

abc: 3.704 14.409 6.244
angles: 90.00 90.00 90.00
Space group Cmcm (No. 63)
Symmetry-distinct sites (fractional):
1 Pu 0.000 0.153 0.020 x8
2 Sb 0.000 0.490 0.250 x4
3 N 0.000 0.263 0.750 x4

Summary:
ΔE to the lowest computed polymorph: 0.2142 eV/atom
Total energy: -11.030 eV per atom
Energy relative to the elements, uncorrected: -752 meV per atom


Computed, not measured: a geometry-optimized Sc2AlIrPd structure at the PBE-GGA level of DFT.

abc: 4.889 4.889 4.534
angles: 90.00 90.00 90.00
Space group P4/mmm (No. 123)
Symmetry-distinct sites (fractional):
1 Sc 0.000 0.500 0.000 x2
2 Al 0.000 0.000 0.500 x1
3 Ir 0.500 0.500 0.500 x1
4 Pd 0.000 0.000 0.000 x1

Summary:
ΔE to the lowest computed polymorph: 0.0000 eV/atom
Total energy: -5.994 eV per atom
E_form: 0.098 eV/atom


Computed, not measured: a geometry-optimized AcNd2I8 structure at the PBE-GGA level of DFT.

abc: 20.361 8.875 7.673
angles: 90.00 97.46 90.00
Space group C2/m (No. 12)
Symmetry-distinct sites (fractional):
1 Ac 0.000 0.000 0.000 x2
2 Nd 0.147 0.000 0.435 x4
3 I 0.063 0.263 0.278 x8
4 I 0.143 0.000 0.834 x4
5 I 0.216 0.500 0.645 x4

Summary:
Total energy: -3.634 eV per atom
Energy relative to the elements, uncorrected: -1266 meV per atom


Computed, not measured: a geometry-optimized EuDyInRh structure at the PBE-GGA level of DFT.

abc: 7.304 7.304 7.304
angles: 90.00 90.00 90.00
Space group F-43m (No. 216)
Symmetry-distinct sites (fractional):
1 Eu 0.000 0.000 0.000 x4
2 Dy 0.000 0.000 0.500 x4
3 In 0.250 0.250 0.250 x4
4 Rh 0.250 0.250 0.750 x4

Summary:
Total energy: -6.656 eV per atom
E_form: -0.414 eV/atom


Computed, not measured: a geometry-optimized LiSn6Cl12 structure at the PBE-GGA level of DFT.

abc: 12.9334 12.9334 11.8281
angles: 90.00 90.00 120.00
Space group R-3 (No. 148, hexagonal axes)
Symmetry-distinct sites (fractional):
1 Li 0.0000 0.0000 0.0000 x3
2 Sn 0.0568 0.2527 0.6720 x18
3 Cl 0.0351 0.1975 0.3746 x18
4 Cl 0.0497 0.1937 0.8841 x18

Summary:
Total energy: -3.497 eV per atom
Energy relative to the elements, uncorrected: -965 meV per atom